DFT (SCAN) results for a PBEsol-optimized structure of BPt3Pb.

Geometry as POSCAR:
```
BPt3Pb
1.0
4.308 0.000 0.000
0.000 4.308 0.000
0.000 0.000 4.308
B Pt Pb
1 3 1
Cartesian
0.000 0.000 0.000 B
0.000 0.000 2.154 Pt
0.000 2.154 0.000 Pt
2.154 0.000 0.000 Pt
2.154 2.154 2.154 Pb
```

Summary:
Size of the total moment = 0.0 μB/cell
Polymorph energy (0 for the lowest one) = 0 meV/atom
Formation enthalpy at 0 K = 0.025 eV per atom
Calculated total energy = -58.73 eV per atom

***

DFT (SCAN) results for a PBEsol-optimized structure of CaAg2Sb.

Geometry as POSCAR:
```
CaAg2Sb
1.0
3.799 0.000 0.000
0.000 3.799 0.000
0.000 0.000 6.116
Ca Ag Sb
1 2 1
Cartesian
0.000 0.000 0.000 Ca
1.900 1.900 1.528 Ag
1.900 1.900 4.589 Ag
0.000 0.000 3.058 Sb
```

Summary:
Size of the total moment = 0.0 μB/cell
Uncorrected formation energy = -0.245 eV per atom
Calculated total energy = -27.66 eV per atom

***

DFT (SCAN) results for a PBEsol-optimized structure of BaSr2H.

Geometry as POSCAR:
```
BaSr2H
1.0
0.000 5.540 5.540
5.540 0.000 5.540
5.540 5.540 0.000
Ba Sr H
2 4 2
Cartesian
1.385 1.385 1.385 Ba
9.695 9.695 9.695 Ba
5.540 2.770 2.770 Sr
2.770 5.540 2.770 Sr
2.770 2.770 5.540 Sr
5.540 5.540 5.540 Sr
4.155 4.155 4.155 H
6.925 6.925 6.925 H
```

Summary:
Size of the total moment = 0.0 μB/cell
Calculated total energy = -22.11 eV per atom

***

DFT (SCAN) results for a PBEsol-optimized structure of Sr2LiPd2.

Geometry as POSCAR:
```
Sr2LiPd2
1.0
-2.908 2.908 3.992
2.908 -2.908 3.992
2.908 2.908 -3.992
Sr Li Pd
2 1 2
Cartesian
2.908 0.000 1.996 Sr
0.000 2.908 1.996 Sr
0.000 0.000 0.000 Li
0.000 0.000 2.679 Pd
0.000 0.000 5.305 Pd
```

Summary:
Size of the total moment = 0.0 μB/cell
Polymorph energy (0 for the lowest one) = 147 meV/atom
Formation enthalpy at 0 K = -0.325 eV per atom
Calculated total energy = -22.82 eV per atom

***

DFT (SCAN) results for a PBEsol-optimized structure of SrB2H.

Geometry as POSCAR:
```
SrB2H
1.0
-1.622 1.622 9.979
1.622 -1.622 9.979
1.622 1.622 -9.979
Sr B H
2 4 2
Cartesian
1.622 0.811 2.495 Sr
0.000 0.811 7.484 Sr
0.000 0.000 0.000 B
0.811 0.811 -4.989 B
0.811 -0.811 4.989 B
0.000 1.622 0.000 B
1.622 -0.811 7.484 H
0.000 2.433 2.495 H
```

Summary:
Size of the total moment = 0.0 μB/cell
Calculated total energy = -9.96 eV per atom

***

DFT (SCAN) results for a PBEsol-optimized structure of BaCa2Br.

Geometry as POSCAR:
```
BaCa2Br
1.0
2.006 1.158 11.060
-2.006 1.158 11.060
0.000 -2.316 11.060
Ba Ca Br
1 2 1
Cartesian
0.000 0.000 0.000 Ba
0.000 0.000 7.617 Ca
0.000 0.000 15.616 Ca
0.000 0.000 24.625 Br
```

Summary:
Size of the total moment = 0.8 μB/cell
Uncorrected formation energy = -0.788 eV per atom
Calculated total energy = -20.37 eV per atom

***

DFT (SCAN) results for a PBEsol-optimized structure of LiNi3Ge.

Geometry as POSCAR:
```
LiNi3Ge
1.0
4.307 0.000 0.000
0.000 4.307 0.000
0.000 0.000 4.307
Li Ni Ge
1 3 1
Cartesian
0.000 0.000 0.000 Li
0.000 2.154 2.154 Ni
2.154 0.000 2.154 Ni
2.154 2.154 0.000 Ni
2.154 2.154 2.154 Ge
```

Summary:
Size of the total moment = 1.0 μB/cell
Formation enthalpy at 0 K = 0.463 eV per atom
Calculated total energy = -13.54 eV per atom

***

DFT (SCAN) results for a PBEsol-optimized structure of CuAsPt2.

Geometry as POSCAR:
```
CuAsPt2
1.0
2.801 0.000 0.000
0.000 4.109 0.000
-1.379 0.000 5.117
Cu As Pt
1 1 2
Cartesian
0.000 0.000 0.000 Cu
0.019 2.054 3.928 As
0.006 0.000 2.628 Pt
1.408 2.054 1.220 Pt
```

Summary:
Size of the total moment = 0.0 μB/cell
Formation enthalpy at 0 K = -0.118 eV per atom
Calculated total energy = -44.06 eV per atom